Entry 1:
DFT (PBE) results for an optimized crystal structure of La3Mo.

```
4
Lattice="-0.405 3.947 -3.596 -3.230 -0.558 -4.235 -4.508 2.872 -0.326" Properties=species:S:1:pos:R:3 pbc="T T T"
La -2.036 1.565 -2.039
La 0.000 0.000 0.000
Mo -6.107 4.696 -6.118
La -4.071 3.131 -4.079
```

Calculated values
Formation energy in eV per atom: 0.44
Energy above the most stable polymorph in this dataset in eV per formula unit: 0.92
Calculated volume in Å³/f.u.: 108.59
Theoretical density in kg/m³: 7840


Entry 2:
DFT (PBE) results for an optimized crystal structure of HoMgB14.

```
32
Lattice="5.420 0.000 2.412 2.045 6.524 2.699 -0.025 0.043 7.350" Properties=species:S:1:pos:R:3 pbc="T T T"
B 2.524 5.274 8.918
B 3.398 3.927 4.627
B 6.826 5.970 6.547
B 5.128 3.927 5.397
B 6.455 6.360 11.059
B 2.544 2.477 5.259
B 5.230 2.477 6.454
B 6.474 5.075 5.009
B 4.897 4.090 7.203
B 2.784 5.075 3.367
B 4.916 1.293 3.544
B 0.985 0.207 1.402
B 2.313 2.640 7.065
B 2.210 4.090 6.007
B 1.216 1.587 4.562
B 3.090 4.181 7.647
B 4.350 2.386 4.815
Mg 2.698 0.021 4.881
B 5.450 6.476 9.640
B 1.991 0.091 2.822
B 6.224 4.980 7.900
B 3.653 1.625 6.383
B 0.966 1.491 7.453
B 3.722 6.360 9.843
Ho 5.287 4.008 10.005
B 3.788 4.942 6.079
B 0.615 0.597 5.914
B 4.656 1.491 9.095
B 3.719 0.207 2.619
Mg -0.012 0.021 3.675
B 4.043 2.640 7.834
Ho 2.153 2.559 2.457
```

Calculated values
Formation energy in eV per atom: -0.22
Calculated volume in Å³/f.u.: 129.93
Theoretical density in kg/m³: 4353


Entry 3:
DFT (PBE) results for an optimized crystal structure of AcZnPt2Au.

```
5
Lattice="4.186 0.000 0.000 0.000 4.186 0.000 -2.093 -2.093 6.166" Properties=species:S:1:pos:R:3 pbc="T T T"
Pt 0.000 0.000 4.839
Pt 2.093 2.093 1.326
Ac 0.000 0.000 0.000
Zn 0.000 2.093 3.083
Au 2.093 0.000 3.083
```

Calculated values
Formation energy in eV per atom: -0.72
Calculated volume in Å³/f.u.: 108.03
Theoretical density in kg/m³: 13520


Entry 4:
DFT (PBE) results for an optimized crystal structure of KVCl2.

```
4
Lattice="2.435 0.000 8.445 -1.218 2.109 8.445 -1.218 -2.109 8.445" Properties=species:S:1:pos:R:3 pbc="T T T"
Cl 0.000 0.000 22.983
K 0.000 0.000 12.668
V 0.000 0.000 0.000
Cl 0.000 0.000 2.353
```

Calculated values
Formation energy without anion corrections in meV per atom: -778
Energy above the most stable polymorph in this dataset in eV per formula unit: 0.18
Calculated volume in Å³/f.u.: 130.13
Theoretical density in kg/m³: 2054


Entry 5:
DFT (PBE) results for an optimized crystal structure of La2YRuPt.

```
5
Lattice="-4.052 -2.329 3.381 1.395 -5.249 -1.944 3.075 -0.436 3.384" Properties=species:S:1:pos:R:3 pbc="T T T"
Pt 0.209 -4.007 2.411
La 0.698 -2.624 -0.972
Y 0.000 0.000 0.000
La -2.026 -1.165 1.691
Ru 1.537 -0.218 1.692
```

Calculated values
Formation energy in eV per atom: 0.95
Calculated volume in Å³/f.u.: 152.82
Theoretical density in kg/m³: 7203


Entry 6:
DFT (PBE) results for an optimized crystal structure of Li2TaIn.

```
4
Lattice="-1.210 -1.194 2.360 -2.037 -1.235 -1.669 4.785 -6.657 -0.916" Properties=species:S:1:pos:R:3 pbc="T T T"
Li 4.749 -6.606 -0.909
Ta -0.427 -2.879 0.117
Li 2.429 -3.379 -0.465
In 1.965 -6.207 -0.342
```

Calculated values
Formation energy in eV per atom: 0.25
Calculated volume in Å³/f.u.: 69.80
Theoretical density in kg/m³: 7366


Entry 7:
DFT (PBE) results for an optimized crystal structure of Dy4Tm2Sc3.

```
18
Lattice="-2.530 0.680 -5.404 4.490 -7.504 -3.782 -5.676 -7.591 0.967" Properties=species:S:1:pos:R:3 pbc="T T T"
Tm 0.249 -9.193 -3.361
Dy -2.694 -10.700 -2.186
Dy 1.744 -7.914 -5.891
Dy -2.654 -4.080 -1.978
Dy -5.461 -6.501 -2.328
Dy -1.022 -3.715 -6.033
Dy 3.075 -6.779 -3.022
Tm 0.157 -5.537 -3.491
Tm -3.874 -8.877 -4.728
Sc -2.221 -7.386 -2.293
Dy -6.791 -7.636 -5.197
Sc -1.495 -7.029 -5.925
Sc -0.188 -12.508 -3.258
Sc -3.529 -1.906 -4.960
Dy -1.063 -10.335 -6.241
Sc -0.248 -2.229 -3.200
Tm -3.966 -5.222 -4.858
Sc -3.468 -12.185 -5.019
```

Calculated values
Formation energy in eV per atom: 0.11
Energy above the most stable polymorph in this dataset in eV per formula unit: 0.48
Calculated volume in Å³/f.u.: 258.51
Theoretical density in kg/m³: 7212


Entry 8:
DFT (PBE) results for an optimized crystal structure of Cs4CeI5.

```
10
Lattice="7.792 0.000 0.000 3.896 8.429 0.000 3.896 0.000 8.429" Properties=species:S:1:pos:R:3 pbc="T T T"
I 3.205 0.000 0.000
Ce 7.697 0.000 0.000
Cs 4.018 1.715 3.224
I 11.782 2.996 6.900
I 3.990 5.433 1.528
Cs 11.810 6.714 5.205
Cs 7.914 3.224 6.714
I 7.886 1.528 2.996
I 7.886 6.900 5.433
Cs 7.914 5.205 1.715
```

Calculated values
Formation energy without anion corrections in meV per atom: -1224
Calculated volume in Å³/f.u.: 553.56
Theoretical density in kg/m³: 3918


Entry 9:
DFT (PBE) results for an optimized crystal structure of Mg2Mo.

```
6
Lattice="2.630 0.000 0.000 0.000 7.496 0.000 0.000 0.000 7.423" Properties=species:S:1:pos:R:3 pbc="T T T"
Mo 0.000 0.000 0.000
Mg 0.000 1.977 1.886
Mo 1.315 3.748 3.712
Mg 0.000 5.519 5.537
Mg 1.315 5.725 1.825
Mg 1.315 1.771 5.598
```

Calculated values
Formation energy in eV per atom: 0.78
Energy above the most stable polymorph in this dataset in eV per formula unit: 1.68
Calculated volume in Å³/f.u.: 73.18
Theoretical density in kg/m³: 3280


Entry 10:
DFT (PBE) results for an optimized crystal structure of TaBeCu.

```
6
Lattice="3.661 -2.114 0.000 0.000 4.228 0.000 0.000 0.000 4.998" Properties=species:S:1:pos:R:3 pbc="T T T"
Ta 1.220 2.114 3.748
Ta 2.441 0.000 1.249
Be 1.220 2.114 1.249
Cu 0.000 0.000 0.000
Cu 0.000 0.000 2.499
Be 2.441 0.000 3.748
```

Calculated values
Formation energy in eV per atom: 0.18
Energy above the most stable polymorph in this dataset in eV per formula unit: 0.82
Calculated volume in Å³/f.u.: 38.68
Theoretical density in kg/m³: 10884


Entry 11:
DFT (PBE) results for an optimized crystal structure of Na2MnGeI6.

```
10
Lattice="-3.483 -3.680 -5.913 3.146 -6.487 -2.946 -3.717 -7.168 1.526" Properties=species:S:1:pos:R:3 pbc="T T T"
Mn -0.248 -3.529 -2.783
Na -3.527 -6.970 1.289
I -4.974 -8.631 -3.211
I 1.348 -8.811 -3.671
Na -1.791 -8.420 -3.961
I -1.748 -8.731 -0.698
I -2.466 -9.102 -6.990
I -2.303 -5.300 -3.647
I -2.221 -11.641 -3.536
Ge -2.283 -12.208 -6.439
```

Calculated values
Formation energy without anion corrections in meV per atom: -681
Calculated volume in Å³/f.u.: 361.30
Theoretical density in kg/m³: 4297


Entry 12:
DFT (PBE) results for an optimized crystal structure of Y2HoNpO8.

```
12
Lattice="5.091 -0.062 -0.003 -0.035 5.096 -0.006 0.004 0.008 6.986" Properties=species:S:1:pos:R:3 pbc="T T T"
O 4.164 0.886 5.419
O 4.162 0.881 1.560
O 1.430 1.415 -0.002
Np 0.000 0.000 0.000
O 3.505 3.499 3.487
O 3.629 3.626 6.980
Ho 0.002 0.004 3.493
Y 2.529 2.519 1.810
O 0.897 4.161 5.417
O 0.895 4.156 1.559
O 1.554 1.543 3.490
Y 2.531 2.523 5.168
```

Calculated values
Formation energy without anion corrections in meV per atom: -3181
Calculated volume in Å³/f.u.: 181.22
Theoretical density in kg/m³: 6485


Entry 13:
DFT (PBE) results for an optimized crystal structure of Tm5Bi2Pd.

```
16
Lattice="4.546 0.000 0.000 0.000 7.957 0.000 0.000 0.000 12.242" Properties=species:S:1:pos:R:3 pbc="T T T"
Bi 2.273 3.420 10.129
Bi 2.273 0.559 4.008
Tm 2.273 5.430 5.316
Tm 0.000 0.000 6.121
Tm 0.000 2.832 3.634
Tm 2.273 2.527 6.926
Pd 0.000 0.000 0.000
Tm 2.273 1.452 0.805
Pd 0.000 3.978 6.121
Tm 0.000 1.147 9.755
Tm 2.273 6.505 11.437
Tm 0.000 3.978 0.000
Bi 2.273 7.398 8.234
Tm 0.000 6.810 2.487
Bi 2.273 4.537 2.113
Tm 0.000 5.125 8.608
```

Calculated values
Formation energy in eV per atom: -0.62
Energy above the most stable polymorph in this dataset in eV per formula unit: 0.00
Calculated volume in Å³/f.u.: 221.41
Theoretical density in kg/m³: 10268


Entry 14:
DFT (PBE) results for an optimized crystal structure of TmPaSe4.

```
6
Lattice="-1.539 -3.742 0.989 7.678 -0.289 2.081 -4.288 3.005 4.696" Properties=species:S:1:pos:R:3 pbc="T T T"
Tm -2.914 -0.368 2.843
Se -1.830 1.869 4.223
Se 3.680 -2.895 3.544
Se 2.223 0.526 5.446
Pa 0.000 0.000 0.000
Se -0.372 -1.551 2.321
```

Calculated values
Formation energy without anion corrections in meV per atom: -1547
Energy above the most stable polymorph in this dataset in eV per formula unit: 0.00
Calculated volume in Å³/f.u.: 201.62
Theoretical density in kg/m³: 5895


Entry 15:
DFT (PBE) results for an optimized crystal structure of CeDy2Si2.

```
10
Lattice="-3.767 1.612 -0.460 -1.291 -1.524 5.226 4.764 11.036 -0.334" Properties=species:S:1:pos:R:3 pbc="T T T"
Si -3.555 0.467 3.025
Si 0.939 6.027 4.189
Dy 2.215 8.856 3.656
Dy -1.599 5.078 3.169
Ce 0.648 9.535 0.385
Ce -0.943 1.589 4.046
Dy -2.510 2.268 0.776
Si -1.233 5.097 0.242
Dy 1.305 6.046 1.263
Si 3.261 10.657 1.406
```

Calculated values
Formation energy without anion corrections in meV per atom: -472
Calculated volume in Å³/f.u.: 129.01
Theoretical density in kg/m³: 6710


Entry 16:
DFT (PBE) results for an optimized crystal structure of Tb3Pm3Th.

```
14
Lattice="8.027 0.727 3.641 2.628 7.619 3.641 0.928 0.727 8.765" Properties=species:S:1:pos:R:3 pbc="T T T"
Tb 4.561 7.796 10.286
Tb 7.022 1.277 5.761
Th 7.565 5.925 10.480
Tb 9.563 6.217 7.568
Pm 7.306 4.858 5.266
Tb 4.548 6.512 4.587
Pm 5.363 1.455 8.593
Tb 7.035 2.561 11.460
Th 4.018 3.147 5.567
Tb 2.020 2.856 8.479
Pm 6.220 7.617 7.454
Pm 4.277 4.214 10.781
Pm 2.962 5.930 7.796
Pm 8.621 3.143 8.251
```

Calculated values
Formation energy in eV per atom: 0.24
Calculated volume in Å³/f.u.: 240.86
Theoretical density in kg/m³: 7886


Entry 17:
DFT (PBE) results for an optimized crystal structure of BaNi2Cl.

```
4
Lattice="-0.285 -2.598 6.036 -4.554 -4.074 2.435 3.965 1.069 -5.138" Properties=species:S:1:pos:R:3 pbc="T T T"
Ni 0.000 0.000 0.000
Ni -2.419 -3.336 4.236
Cl 0.630 -2.432 2.567
Ba -1.504 -3.171 0.766
```

Calculated values
Formation energy without anion corrections in meV per atom: 45
Energy above the most stable polymorph in this dataset in eV per formula unit: 1.32
Calculated volume in Å³/f.u.: 98.59
Theoretical density in kg/m³: 4887


Entry 18:
DFT (PBE) results for an optimized crystal structure of Al2CuSi.

```
4
Lattice="2.674 0.000 0.000 0.000 4.884 0.000 0.000 0.000 4.634" Properties=species:S:1:pos:R:3 pbc="T T T"
Al 1.337 2.442 0.000
Si 0.000 2.442 2.317
Al 0.000 0.000 0.000
Cu 1.337 0.000 2.317
```

Calculated values
Formation energy without anion corrections in meV per atom: 147
Calculated volume in Å³/f.u.: 60.51
Theoretical density in kg/m³: 3995


Entry 19:
DFT (PBE) results for an optimized crystal structure of BeGaSiPd2.

```
5
Lattice="4.360 0.000 0.000 0.000 4.011 0.000 0.000 0.000 4.360" Properties=species:S:1:pos:R:3 pbc="T T T"
Be 0.000 0.000 0.000
Pd 2.180 0.000 0.000
Ga 2.180 2.005 2.180
Pd 0.000 0.000 2.180
Si 0.000 2.005 0.000
```

Calculated values
Formation energy without anion corrections in meV per atom: 47
Calculated volume in Å³/f.u.: 76.25
Theoretical density in kg/m³: 6962


Entry 20:
DFT (PBE) results for an optimized crystal structure of Ho5Tm5Tl.

```
11
Lattice="-3.968 -4.499 0.673 1.637 1.778 -5.531 8.352 -7.350 0.110" Properties=species:S:1:pos:R:3 pbc="T T T"
Tm 3.110 -4.897 -0.653
Tm 1.157 -7.111 -0.322
Ho 2.218 -2.470 -3.431
Ho 0.000 0.000 0.000
Tm 2.244 -1.975 0.030
Tl -0.231 -0.314 -3.463
Ho 4.654 -8.350 -1.306
Tm 1.963 -6.236 -3.044
Ho -0.501 -3.813 -1.374
Tm 6.109 -5.376 0.081
Ho 5.672 -5.509 -3.385
```

Calculated values
Formation energy in eV per atom: 0.33
Calculated volume in Å³/f.u.: 351.11
Theoretical density in kg/m³: 8862